CaTl2AgBr5: relaxed, PBE.

The structure in POSCAR format:
```
CaTl2AgBr5
1.0
2.192 -9.696 0.000
2.192 9.696 0.000
0.000 0.000 14.281
Ca Tl Ag Br
2 4 2 10
Direct
0.210 0.790 0.500 Ca
0.790 0.210 0.000 Ca
0.101 0.899 0.148 Tl
0.128 0.872 0.794 Tl
0.872 0.128 0.294 Tl
0.899 0.101 0.648 Tl
0.446 0.554 0.918 Ag
0.554 0.446 0.418 Ag
0.059 0.941 0.528 Br
0.281 0.719 0.137 Br
0.302 0.698 0.863 Br
0.359 0.641 0.479 Br
0.496 0.504 0.251 Br
0.504 0.496 0.751 Br
0.641 0.359 0.979 Br
0.698 0.302 0.363 Br
0.719 0.281 0.637 Br
0.941 0.059 0.028 Br
```

Values from the calculation:
Spin magnetization, μB per formula unit: 0.00
Fermi-level density of states, states/eV/f.u.: 0.00
Symmetry: Cmc2_1 (36)
ΔE_f (raw), kcal/mol of atoms: -26.38
Energy, eV/atom: -3.138